Entry 1:
Density functional theory data (PBE) for a relaxed structure of Y2BeInPt6.

Values from the calculation:
Crystal system ... trigonal
M_tot ... 0.00 μB per formula unit
Space-group type ... R-3m
Final energy ... -6.39 eV per atom

a b c (Å): 8.5832 8.5832 8.5832
angles (deg): 37.92 37.92 37.92
Last column: nearest neighbours and their distance in Å.
Element x y z (fractional)
Y1 0.2004 0.2004 0.2004  9 Pt 2.94-3.01
Y2 0.7996 0.7996 0.7996  9 Pt 2.94-3.01
Be1 0.5000 0.5000 0.5000  6 Pt 2.36
In1 0.0000 0.0000 0.0000  6 Pt 2.77
Pt1 0.2410 0.7381 0.7381  1 Be 2.36
Pt2 0.2619 0.2619 0.7590  1 Be 2.36
Pt3 0.2619 0.7590 0.2619  1 Be 2.36
Pt4 0.7381 0.2410 0.7381  1 Be 2.36
Pt5 0.7381 0.7381 0.2410  1 Be 2.36
Pt6 0.7590 0.2619 0.2619  1 Be 2.36


Entry 2:
Density functional theory data (PBE) for a relaxed structure of AsIr2IF.

Values from the calculation:
Crystal system ... tetragonal
M_tot ... 2.51 μB per formula unit
Space-group type ... P4/mmm
Final energy ... -4.14 eV per atom
E_form (uncorrected) ... 1.0232 eV per atom

a b c (Å): 4.5775 4.5775 5.8476
angles (deg): 90.00 90.00 90.00
Last column: nearest neighbours and their distance in Å.
Element x y z (fractional)
As1 0.0000 0.0000 0.0000  4 Ir 2.29
Ir1 0.0000 0.5000 0.0000  2 As 2.29
Ir2 0.5000 0.0000 0.0000  2 As 2.29
I1 0.0000 0.0000 0.5000  2 As 2.92, 4 F 3.24
F1 0.5000 0.5000 0.5000  4 I 3.24